Compound: ZrVCo2
Source: the Alexandria database
Functional: PBE
Structure: optimized geometry

Cell and atoms, written as POSCAR:
```
ZrVCo2
1.0
4.050 0.000 0.000
0.000 4.050 0.000
2.025 2.025 7.798
Co V Zr
4 2 2
direct
0.375 0.455 0.750
0.545 0.125 0.250
0.205 0.625 0.250
0.875 0.795 0.750
0.250 0.750 0.500
0.500 0.500 0.000
0.000 0.000 0.000
0.750 0.250 0.500
```

Properties
Symmetry: I-42d (122)
Electronic total energy in eV per atom: -7.4753
Energy relative to the elements in kJ per mole of atoms: 47.7